Material: ErSc2Co9
Method: DFT, PBE-GGA
State: optimized geometry

magnetization: 32.1 Bohr magnetons per cell
formation enthalpy at 0 K: -25 kJ/mol of atoms
raw total energy: -7.026 eV per atom

a b c (Å): 4.8784 4.8784 23.7605
angles (deg): 90.00 90.00 120.00
Space group R-3m (No. 166, hexagonal axes)
Inequivalent atoms, fractional coordinates:
Er  0.0000  0.0000  0.0000 [3 per cell]
Sc  0.0000  0.0000  0.1410 [6 per cell]
Co  0.0000  0.0000  0.3354 [6 per cell]
Co  0.0000  0.0000  0.5000 [3 per cell]
Co  0.0058  0.5029  0.9161 [18 per cell]

Material: KCrCd3
Method: DFT, PBE-GGA
State: optimized geometry

magnetization: 4.4 Bohr magnetons per cell
formation enthalpy at 0 K: 29 kJ/mol of atoms
distance to the lowest polymorph of the same formula: 0.000 eV per atom
raw total energy: -2.390 eV per atom

a b c (Å): 5.4168 5.4168 5.4168
angles (deg): 90.00 90.00 90.00
Space group Pm-3m (No. 221)
Inequivalent atoms, fractional coordinates:
K  0.0000  0.0000  0.0000 [1 per cell]
Cr  0.5000  0.5000  0.5000 [1 per cell]
Cd  0.0000  0.5000  0.5000 [3 per cell]